Compound: CdTc2P2
Source: Alexandria via LeMat-Bulk
Functional: PBE
Structure: optimized geometry

Results
D(E_F), states/eV/atom: 0.0649
Energy above the most stable polymorph in this dataset, meV per atom: 0
ΔH_f (0 K), eV per atom: -0.171

The structure in POSCAR format:
```
CdTc2P2
1.0
-1.7740 1.7740 6.2295
1.7740 -1.7740 6.2295
1.7740 1.7740 -6.2295
Cd Tc P
1 2 2
Direct
0.0000 0.0000 0.0000
0.3747 0.3747 0.0000
0.6253 0.6253 0.0000
0.2500 0.7500 0.5000
0.7500 0.2500 0.5000
```

=====

Compound: CdTc2P
Source: Alexandria via LeMat-Bulk
Functional: PBE
Structure: optimized geometry

Results
D(E_F), states/eV/atom: 1.2652
Energy above the most stable polymorph in this dataset, meV per atom: 586
ΔH_f (0 K), eV per atom: 0.516

The structure in POSCAR format:
```
CdTc2P
1.0
-2.0089 2.0089 8.9603
2.0089 -2.0089 8.9603
2.0089 2.0089 -8.9603
Cd Tc P
2 4 2
Direct
0.0000 0.0000 0.0000
0.7500 0.2500 0.5000
0.2207 0.6250 0.0957
0.3750 0.4707 0.5957
0.5293 0.1250 0.9043
0.8750 0.7793 0.4043
0.2500 0.7500 0.5000
0.5000 0.5000 0.0000
```

=====

Compound: CdTc2P
Source: Alexandria via LeMat-Bulk
Functional: PBE
Structure: optimized geometry

Results
D(E_F), states/eV/atom: 0.7211
Energy above the most stable polymorph in this dataset, meV per atom: 208
ΔH_f (0 K), eV per atom: 0.139

The structure in POSCAR format:
```
CdTc2P
1.0
4.3242 0.0000 0.0000
0.0000 1.4701 5.2240
0.0000 -1.4701 5.2240
Cd Tc P
1 2 1
Direct
0.0000 0.0000 0.0000
0.0000 0.7397 0.7397
0.5000 0.3326 0.3326
0.5000 0.6549 0.6549
```

=====

Compound: CdTc2P
Source: Alexandria via LeMat-Bulk
Functional: PBE
Structure: optimized geometry

Results
D(E_F), states/eV/atom: 0.7969
Energy above the most stable polymorph in this dataset, meV per atom: 224
ΔH_f (0 K), eV per atom: 0.154

The structure in POSCAR format:
```
CdTc2P
1.0
1.5371 -2.4471 0.0000
1.5371 2.4471 0.0000
0.0000 0.0000 8.3568
Cd Tc P
1 2 1
Direct
0.0000 0.0000 0.0000
0.5000 0.5000 0.2943
0.5000 0.5000 0.7057
0.0000 0.0000 0.5000
```